Computed, not measured: a geometry-optimized Li5TiV3O8 structure at the PBE with a Hubbard U level of DFT.

- SG: P2_12_12_1 (19)
- Magnetization: 8.00 μB per formula unit
- Volume: 9.3 Å³/atom
- DFT total energy: -6.790 eV per atom

abc: 8.481 8.421 8.816
angles: 90.00 90.00 90.00
Fractional positions:
Li1 0.650 0.631 0.652
Li2 0.363 0.359 0.663
Li3 0.506 0.999 0.999
Li4 0.637 0.859 0.837
Li5 0.138 0.358 0.842
Li6 0.150 0.869 0.348
Li7 0.151 0.143 0.642
Li8 0.349 0.857 0.142
Li9 0.137 0.641 0.163
Li10 0.651 0.357 0.358
Li11 0.362 0.642 0.342
Li12 0.850 0.369 0.152
Li13 0.863 0.141 0.337
Li14 0.006 0.501 0.001
Li15 0.994 0.001 0.499
Li16 0.494 0.499 0.501
Li17 0.350 0.131 0.848
Li18 0.849 0.643 0.858
Li19 0.638 0.142 0.158
Li20 0.862 0.858 0.658
Ti1 0.625 0.872 0.378
Ti2 0.875 0.128 0.878
Ti3 0.125 0.628 0.622
Ti4 0.375 0.372 0.122
V1 0.622 0.372 0.883
V2 0.874 0.366 0.628
V3 0.878 0.628 0.383
V4 0.126 0.866 0.872
V5 0.374 0.134 0.372
V6 0.627 0.128 0.623
V7 0.127 0.372 0.377
V8 0.373 0.628 0.877
V9 0.122 0.128 0.117
V10 0.873 0.872 0.123
V11 0.378 0.872 0.617
V12 0.626 0.634 0.128
O1 0.377 0.137 0.123
O2 0.638 0.118 0.865
O3 0.123 0.863 0.623
O4 0.384 0.126 0.617
O5 0.877 0.363 0.877
O6 0.862 0.882 0.365
O7 0.628 0.885 0.146
O8 0.872 0.115 0.646
O9 0.630 0.878 0.608
O10 0.372 0.385 0.354
O11 0.370 0.378 0.892
O12 0.113 0.122 0.871
O13 0.128 0.615 0.854
O14 0.878 0.628 0.135
O15 0.378 0.872 0.865
O16 0.130 0.622 0.392
O17 0.387 0.878 0.371
O18 0.138 0.382 0.135
O19 0.622 0.372 0.635
O20 0.122 0.128 0.365
O21 0.374 0.618 0.117
O22 0.623 0.637 0.377
O23 0.626 0.118 0.383
O24 0.884 0.374 0.383
O25 0.616 0.626 0.883
O26 0.613 0.378 0.129
O27 0.116 0.874 0.117
O28 0.126 0.382 0.617
O29 0.874 0.882 0.883
O30 0.870 0.122 0.108
O31 0.362 0.618 0.635
O32 0.887 0.622 0.629